(1)
## FeBAsBr2 (PBEsol)

Data for a geometry-optimized FeBAsBr2 structure.

extended XYZ file:
```
5
Lattice="4.5652 0.0000 0.0000 0.0000 4.5652 0.0000 0.0000 0.0000 4.4006" Properties=species:S:1:pos:R:3 pbc="T T T"
As 0.0000 0.0000 2.2003
Br 0.0000 2.2826 0.0000
Br 2.2826 0.0000 0.0000
Fe 2.2826 2.2826 2.2003
B 0.0000 0.0000 0.0000
```

Computed properties:
formation energy without anion corrections	24.354	kcal/mol of atoms
D(E_F)	4.59	states/eV per cell

---

(2)
## BMoAs2Br (PBEsol)

Data for a geometry-optimized BMoAs2Br structure.

extended XYZ file:
```
5
Lattice="-2.6910 1.8039 3.4730 -2.0702 -4.2330 0.5946 3.6808 -1.3043 3.5295" Properties=species:S:1:pos:R:3 pbc="T T T"
As -1.3455 0.9020 1.7365
As -1.0351 -2.1165 0.2973
B -0.5402 -1.8667 3.7986
Br 1.8404 -0.6522 1.7648
Mo 0.0000 0.0000 0.0000
```

Computed properties:
formation energy without anion corrections	29.485	kcal/mol of atoms
D(E_F)	4.13	states/eV per cell

---

Question: The lowest formation energy without anion corrections belongs to which entry?
Answer: FeBAsBr2

---

Question: Which of these has the lowest formation energy without anion corrections?
Answer: FeBAsBr2

---

Please write out number 1 again, unchanged.
## FeBAsBr2 (PBEsol)

Data for a geometry-optimized FeBAsBr2 structure.

extended XYZ file:
```
5
Lattice="4.5652 0.0000 0.0000 0.0000 4.5652 0.0000 0.0000 0.0000 4.4006" Properties=species:S:1:pos:R:3 pbc="T T T"
As 0.0000 0.0000 2.2003
Br 0.0000 2.2826 0.0000
Br 2.2826 0.0000 0.0000
Fe 2.2826 2.2826 2.2003
B 0.0000 0.0000 0.0000
```

Computed properties:
formation energy without anion corrections	24.354	kcal/mol of atoms
D(E_F)	4.59	states/eV per cell